# TaTeBr2F

A relaxed TaTeBr2F crystal (PBE, the Alexandria database).

a = 5.2670 Å, b = 5.2670 Å, c = 4.1883 Å
α = 90.00°, β = 90.00°, γ = 90.00°
Positions (direct):
Ta: 0.0000 0.0000 0.0000
Te: 0.5000 0.5000 0.0000
Br: 0.0000 0.5000 0.5000
Br: 0.5000 0.0000 0.5000
F: 0.5000 0.5000 0.5000

Computed properties:
Formation energy from raw total energies = 0.525 eV per atom
Space group = P4/mmm